# 1
# La4TbPr2Nd

La4TbPr2Nd after structural relaxation (PBE, Alexandria).

E in eV per cell: -38.567
M_tot in μB/atom: 0.000
Energy of formation in meV per atom: 12.5
Crystal system: monoclinic

Geometry as POSCAR:
```
La4TbPr2Nd
1.0
5.274 0.000 0.000
0.000 5.102 1.228
0.000 2.687 11.319
La Tb Pr Nd
4 1 2 1
Direct
0.000 0.749 0.751
0.000 0.251 0.249
0.500 0.752 0.248
0.500 0.248 0.752
0.500 0.500 0.000
0.000 0.000 0.000
0.500 0.000 0.500
0.000 0.500 0.500
```

# 2
# La2Tb2PrNd

La2Tb2PrNd after structural relaxation (PBE, Alexandria).

E in eV per cell: -54.465
M_tot in μB/atom: 0.000
Energy of formation in meV per atom: 238.4
Crystal system: orthorhombic

Geometry as POSCAR:
```
La2Tb2PrNd
1.0
-0.614 1.539 3.051
-1.383 -5.933 2.713
17.870 -2.048 4.631
La Tb Pr Nd
4 4 2 2
Direct
0.500 0.284 0.311
0.000 0.784 0.189
0.500 0.716 0.689
0.000 0.216 0.811
0.500 0.786 0.355
0.500 0.214 0.645
0.000 0.714 0.855
0.000 0.286 0.145
0.000 0.000 0.000
0.500 0.500 0.500
0.500 0.500 0.000
0.000 0.000 0.500
```

# 3
# LaTbPrNd

LaTbPrNd after structural relaxation (PBE, Alexandria).

E in eV per cell: -18.628
M_tot in μB/atom: 0.000
Energy of formation in meV per atom: 119.2
Crystal system: cubic

Geometry as POSCAR:
```
LaTbPrNd
1.0
5.849 0.000 0.000
2.925 5.066 0.000
2.925 1.689 4.776
Pr Nd Tb La
1 1 1 1
Direct
0.750 0.750 0.750
0.000 0.000 0.000
0.500 0.500 0.500
0.250 0.250 0.250
```

# 4
# LaTbPr5Nd2

LaTbPr5Nd2 after structural relaxation (PBE, Alexandria).

E in eV per cell: -81.351
M_tot in μB/atom: 0.000
Energy of formation in meV per atom: 257.3
Crystal system: tetragonal

Geometry as POSCAR:
```
LaTbPr5Nd2
1.0
-3.267 -6.681 5.144
5.283 -5.921 -4.336
4.773 7.568 4.911
La Tb Pr Nd
2 2 10 4
Direct
0.250 0.250 0.500
0.750 0.750 0.500
0.250 0.750 0.500
0.750 0.250 0.500
0.930 0.430 0.276
0.655 0.155 0.724
0.070 0.570 0.724
0.155 0.070 0.724
0.570 0.655 0.724
0.845 0.930 0.276
0.430 0.345 0.276
0.345 0.845 0.276
0.500 0.500 0.000
0.000 0.000 0.000
0.117 0.383 0.000
0.617 0.117 0.000
0.383 0.883 0.000
0.883 0.617 0.000
```

# 5
# La2Tb3Pr6Nd

La2Tb3Pr6Nd after structural relaxation (PBE, Alexandria).

E in eV per cell: -56.996
M_tot in μB/atom: 0.000
Energy of formation in meV per atom: 16.2
Crystal system: monoclinic

Geometry as POSCAR:
```
La2Tb3Pr6Nd
1.0
6.391 -0.003 0.003
-3.197 5.534 0.003
-1.074 -1.860 11.974
La Tb Pr Nd
2 3 6 1
Direct
0.333 0.667 0.000
0.667 0.333 0.000
0.166 0.834 0.500
0.834 0.166 0.500
0.500 0.500 0.500
0.915 0.582 0.745
0.752 0.752 0.255
0.085 0.418 0.255
0.582 0.915 0.745
0.248 0.248 0.745
0.418 0.085 0.255
0.000 0.000 0.000
```

# 6
# La2TbPr2Nd2

La2TbPr2Nd2 after structural relaxation (PBE, Alexandria).

E in eV per cell: -33.456
M_tot in μB/atom: 0.000
Energy of formation in meV per atom: 17.7
Crystal system: monoclinic

Geometry as POSCAR:
```
La2TbPr2Nd2
1.0
-2.824 2.752 3.440
-3.464 -2.761 -4.614
0.125 -6.402 5.225
La Tb Pr Nd
2 1 2 2
Direct
0.143 0.285 0.426
0.857 0.715 0.574
0.000 0.000 0.000
0.715 0.430 0.141
0.285 0.570 0.859
0.570 0.140 0.716
0.430 0.860 0.284
```

# 7
# LaTb2PrNd

LaTb2PrNd after structural relaxation (PBE, Alexandria).

E in eV per cell: -44.147
M_tot in μB/atom: 0.000
Energy of formation in meV per atom: 332.3
Crystal system: orthorhombic

Geometry as POSCAR:
```
LaTb2PrNd
1.0
7.254 0.000 0.000
0.000 8.562 0.000
0.000 -4.281 5.883
La Tb Pr Nd
2 4 2 2
Direct
0.750 0.734 0.469
0.250 0.266 0.531
0.500 0.313 0.000
0.000 0.687 0.000
0.500 0.687 0.000
0.000 0.313 0.000
0.250 0.000 0.000
0.750 0.000 0.000
0.250 0.724 0.448
0.750 0.276 0.552
```

# 8
# La6TbPrNd2

La6TbPrNd2 after structural relaxation (PBE, Alexandria).

E in eV per cell: -46.764
M_tot in μB/atom: 0.000
Energy of formation in meV per atom: 174.6
Crystal system: monoclinic

Geometry as POSCAR:
```
La6TbPrNd2
1.0
-8.944 2.130 1.682
-1.430 -0.601 -6.846
1.259 -5.453 3.814
La Tb Pr Nd
6 1 1 2
Direct
0.421 0.628 0.255
0.194 0.035 0.603
0.806 0.432 0.397
0.194 0.568 0.603
0.806 0.965 0.397
0.579 0.372 0.745
0.000 0.500 0.000
0.500 0.000 0.000
0.169 0.074 0.147
0.831 0.926 0.853
```